Material: TiCrSb3
Method: DFT, GGA-PBE
State: optimized geometry

Cell: 5.0713 5.0713 5.0713 Å, 90.00 90.00 90.00°
Fractional positions:
Ti 0.0000 0.0000 0.0000
Cr 0.5000 0.5000 0.5000
Sb 0.0000 0.5000 0.5000
Sb 0.5000 0.0000 0.5000
Sb 0.5000 0.5000 0.0000

relative energy among the computed polymorphs	0.000	eV/atom
Fermi-level density of states	1.633	states/eV/atom
density	5.92	Mg/m³
energy relative to the elements, uncorrected	0.64	eV/atom
spin magnetization	4.4	μB per cell
total energy	-26.70	eV per formula unit